This record from Alexandria describes a geometry-optimized Na2MgI2 structure. The functional is PBE.

```
10
Lattice="9.1457 0.0000 0.0000 0.0000 9.1457 0.0000 0.0000 0.0000 4.0390" Properties=species:S:1:pos:R:3 pbc="T T T"
Mg 4.5728 4.5728 0.0000
Mg 0.0000 0.0000 0.0000
I 1.3994 3.1734 0.0000
I 3.1734 7.7463 0.0000
I 7.7463 5.9722 0.0000
I 5.9722 1.3994 0.0000
Na 1.4014 5.9743 2.0195
Na 3.1714 1.4014 2.0195
Na 5.9743 7.7442 2.0195
Na 7.7442 3.1714 2.0195
```

* magnetic moment: 0.0 μB/cell
* relative energy among the computed polymorphs: 8 meV per atom
* energy: -2.127 eV per atom
* calculated volume: 169 Å³/f.u.
* space group: P4/mbm (127)
* formation energy without anion corrections: -661 meV per atom